(1)
Density functional theory data (PBE) for crystalline KMgAl at its relaxed geometry. Values from VASP.

Structure (Quantum ESPRESSO input):
```
&SYSTEM
  ibrav = 0, nat = 3, ntyp = 3
/
ATOMIC_SPECIES
Mg 24.30 Mg.upf
Al 26.98 Al.upf
K 39.10 K.upf
CELL_PARAMETERS angstrom
-5.278 -3.691 -3.549
-2.213 -4.455 -5.416
0.070 -3.354 1.487
ATOMIC_POSITIONS crystal
Mg 0.626 0.626 0.374
Al 0.031 0.031 0.969
K 0.343 0.343 0.657
```

Properties
**ΔH_f (0 K)**: 227 meV/atom
**Energy above the most stable polymorph in this dataset**: 0.1192 eV/atom
**Space-group type**: I4mm
**VASP energy**: -1.918 eV/atom
**Total moment**: 0.000 μB per atom


(2)
Density functional theory data (PBE) for crystalline Ti3Ga3Rh at its relaxed geometry. Values from VASP.

Structure (Quantum ESPRESSO input):
```
&SYSTEM
  ibrav = 0, nat = 14, ntyp = 3
/
ATOMIC_SPECIES
Ga 69.72 Ga.upf
Rh 102.91 Rh.upf
Ti 47.87 Ti.upf
CELL_PARAMETERS angstrom
-3.629 -0.031 -3.201
4.774 -0.824 -5.403
-2.829 -5.831 3.263
ATOMIC_POSITIONS crystal
Ga 0.250 0.952 0.196
Rh 0.250 0.667 0.333
Ti 0.250 0.377 0.460
Ti 0.750 0.916 0.377
Ga 0.250 0.244 0.048
Ti 0.250 0.084 0.623
Ga 0.750 0.196 0.244
Ti 0.750 0.460 0.084
Ti 0.250 0.540 0.916
Ga 0.750 0.048 0.804
Rh 0.750 0.333 0.667
Ga 0.250 0.804 0.756
Ga 0.750 0.756 0.952
Ti 0.750 0.623 0.540
```

Properties
**ΔH_f (0 K)**: -446 meV/atom
**Space-group type**: P6_3/m
**VASP energy**: -6.177 eV/atom
**Total moment**: 0.000 μB per atom


(3)
Density functional theory data (PBE) for crystalline K2LiLa at its relaxed geometry. Values from VASP.

Structure (Quantum ESPRESSO input):
```
&SYSTEM
  ibrav = 0, nat = 4, ntyp = 3
/
ATOMIC_SPECIES
La 138.91 La.upf
K 39.10 K.upf
Li 6.94 Li.upf
CELL_PARAMETERS angstrom
8.242 0.035 -0.014
7.382 3.667 -0.014
2.472 0.586 5.861
ATOMIC_POSITIONS crystal
La 0.750 0.750 0.750
K 0.952 0.952 0.048
K 0.548 0.548 0.452
Li 0.250 0.250 0.250
```

Properties
**ΔH_f (0 K)**: 352 meV/atom
**Space-group type**: C2/m
**VASP energy**: -1.908 eV/atom
**Total moment**: 0.007 μB per atom


(4)
Density functional theory data (PBE) for crystalline SrLiInIr2 at its relaxed geometry. Values from VASP.

Structure (Quantum ESPRESSO input):
```
&SYSTEM
  ibrav = 0, nat = 5, ntyp = 4
/
ATOMIC_SPECIES
Ir 192.22 Ir.upf
Li 6.94 Li.upf
Sr 87.62 Sr.upf
In 114.82 In.upf
CELL_PARAMETERS angstrom
-4.929 0.433 -1.180
-0.161 -4.455 -0.961
-1.244 -0.997 4.831
ATOMIC_POSITIONS crystal
Ir 0.500 0.000 0.000
Li 0.000 0.500 0.000
Sr 0.000 0.000 0.000
In 0.500 0.500 0.500
Ir 0.000 0.000 0.500
```

Properties
**ΔH_f (0 K)**: 1497 meV/atom
**Space-group type**: P4/mmm
**VASP energy**: -3.314 eV/atom
**Total moment**: 0.000 μB per atom


(5)
Density functional theory data (PBE) for crystalline NdReF at its relaxed geometry. Values from VASP.

Structure (Quantum ESPRESSO input):
```
&SYSTEM
  ibrav = 0, nat = 6, ntyp = 3
/
ATOMIC_SPECIES
Nd 144.24 Nd.upf
Re 186.21 Re.upf
F 19.00 F.upf
CELL_PARAMETERS angstrom
4.509 -0.618 1.324
1.974 2.087 2.806
-5.019 -0.224 8.892
ATOMIC_POSITIONS crystal
Nd 0.473 0.890 0.012
Re 0.319 0.885 0.700
F 0.274 0.990 0.221
F 0.772 0.994 0.212
Nd 0.573 0.094 0.422
Re 0.727 0.099 0.733
```

Properties
**Energy relative to the elements, uncorrected**: -1.562 eV per atom
**Space-group type**: P-1
**VASP energy**: -7.925 eV/atom
**Total moment**: 0.000 μB per atom


(6)
Density functional theory data (PBE) for crystalline NdThGe at its relaxed geometry. Values from VASP.

Structure (Quantum ESPRESSO input):
```
&SYSTEM
  ibrav = 0, nat = 3, ntyp = 3
/
ATOMIC_SPECIES
Nd 144.24 Nd.upf
Ge 72.64 Ge.upf
Th 232.04 Th.upf
CELL_PARAMETERS angstrom
3.528 0.000 0.000
0.000 3.528 0.000
-1.764 -1.764 6.913
ATOMIC_POSITIONS crystal
Nd 0.027 0.027 0.054
Ge 0.667 0.667 0.334
Th 0.306 0.306 0.613
```

Properties
**ΔH_f (0 K)**: -299 meV/atom
**Energy above the most stable polymorph in this dataset**: 0.0000 eV/atom
**Space-group type**: I4mm
**VASP energy**: -5.901 eV/atom
**Total moment**: 0.000 μB per atom


(7)
Density functional theory data (PBE) for crystalline PmY2Er2 at its relaxed geometry. Values from VASP.

Structure (Quantum ESPRESSO input):
```
&SYSTEM
  ibrav = 0, nat = 10, ntyp = 3
/
ATOMIC_SPECIES
Pm 145.00 Pm.upf
Er 167.26 Er.upf
Y 88.91 Y.upf
CELL_PARAMETERS angstrom
6.385 -0.854 0.000
-3.306 5.529 0.000
-1.540 -2.337 11.225
ATOMIC_POSITIONS crystal
Pm 0.500 0.500 0.000
Pm 0.750 0.250 0.500
Er 0.125 0.375 0.750
Er 0.625 0.375 0.750
Y 0.166 0.834 0.000
Y 0.084 0.916 0.500
Y 0.834 0.166 0.000
Y 0.416 0.584 0.500
Er 0.625 0.875 0.250
Er 0.625 0.375 0.250
```

Properties
**ΔH_f (0 K)**: 504 meV/atom
**Energy above the most stable polymorph in this dataset**: 0.4187 eV/atom
**Space-group type**: Fddd
**VASP energy**: -4.857 eV/atom
**Total moment**: 0.000 μB per atom


(8)
Density functional theory data (PBE) for crystalline Eu2ZnNi at its relaxed geometry. Values from VASP.

Structure (Quantum ESPRESSO input):
```
&SYSTEM
  ibrav = 0, nat = 4, ntyp = 3
/
ATOMIC_SPECIES
Eu 151.96 Eu.upf
Ni 58.69 Ni.upf
Zn 65.41 Zn.upf
CELL_PARAMETERS angstrom
3.946 0.000 0.000
1.973 3.417 0.000
1.973 1.139 9.848
ATOMIC_POSITIONS crystal
Eu 0.889 0.889 0.333
Ni 0.500 0.500 0.500
Eu 0.111 0.111 0.667
Zn 0.000 0.000 0.000
```

Properties
**ΔH_f (0 K)**: 207 meV/atom
**Space-group type**: R-3m
**VASP energy**: -6.694 eV/atom
**Total moment**: 3.625 μB per atom


(9)
Density functional theory data (PBE) for crystalline Zn2HgOs at its relaxed geometry. Values from VASP.

Structure (Quantum ESPRESSO input):
```
&SYSTEM
  ibrav = 0, nat = 4, ntyp = 3
/
ATOMIC_SPECIES
Zn 65.41 Zn.upf
Hg 200.59 Hg.upf
Os 190.23 Os.upf
CELL_PARAMETERS angstrom
4.830 -0.129 0.142
3.908 2.841 0.142
0.996 0.309 4.650
ATOMIC_POSITIONS crystal
Zn 0.985 0.985 0.042
Hg 0.750 0.750 0.750
Os 0.250 0.250 0.250
Zn 0.515 0.515 0.458
```

Properties
**ΔH_f (0 K)**: 408 meV/atom
**Space-group type**: C2/m
**VASP energy**: -3.112 eV/atom
**Total moment**: 0.000 μB per atom


(10)
Density functional theory data (PBE) for crystalline FePd2I at its relaxed geometry. Values from VASP.

Structure (Quantum ESPRESSO input):
```
&SYSTEM
  ibrav = 0, nat = 4, ntyp = 3
/
ATOMIC_SPECIES
Pd 106.42 Pd.upf
I 126.90 I.upf
Fe 55.84 Fe.upf
CELL_PARAMETERS angstrom
0.000 3.300 3.300
3.300 0.000 3.300
3.300 3.300 0.000
ATOMIC_POSITIONS crystal
Pd 0.250 0.250 0.250
I 0.500 0.500 0.500
Pd 0.750 0.750 0.750
Fe 0.000 0.000 0.000
```

Properties
**Energy relative to the elements, uncorrected**: 0.446 eV per atom
**Energy above the most stable polymorph in this dataset**: 0.0432 eV/atom
**Space-group type**: Fm-3m
**VASP energy**: -4.654 eV/atom
**Total moment**: 0.909 μB per atom


(11)
Density functional theory data (PBE) for crystalline MnAg2Br5 at its relaxed geometry. Values from VASP.

Structure (Quantum ESPRESSO input):
```
&SYSTEM
  ibrav = 0, nat = 8, ntyp = 3
/
ATOMIC_SPECIES
Mn 54.94 Mn.upf
Br 79.90 Br.upf
Ag 107.87 Ag.upf
CELL_PARAMETERS angstrom
5.753 0.055 3.065
3.158 6.208 0.934
-0.029 0.495 7.008
ATOMIC_POSITIONS crystal
Mn 0.006 0.012 0.012
Br 0.771 0.297 0.296
Br 0.371 0.737 0.738
Ag 0.583 0.055 0.629
Br 0.605 0.012 0.012
Ag 0.583 0.630 0.054
Br 0.042 0.289 0.745
Br 0.040 0.746 0.291
```

Properties
**Energy relative to the elements, uncorrected**: -0.469 eV per atom
**Energy above the most stable polymorph in this dataset**: 0.0000 eV/atom
**Space-group type**: P1
**VASP energy**: -3.373 eV/atom
**Total moment**: 0.499 μB per atom


(12)
Density functional theory data (PBE) for crystalline FeHRuPt2 at its relaxed geometry. Values from VASP.

Structure (Quantum ESPRESSO input):
```
&SYSTEM
  ibrav = 0, nat = 5, ntyp = 4
/
ATOMIC_SPECIES
Fe 55.84 Fe.upf
H 1.01 H.upf
Pt 195.08 Pt.upf
Ru 101.07 Ru.upf
CELL_PARAMETERS angstrom
3.925 0.000 0.000
0.000 3.925 0.000
0.000 0.000 3.982
ATOMIC_POSITIONS crystal
Fe 0.500 0.500 0.500
H 0.000 0.000 0.000
Pt 0.500 0.000 0.000
Ru 0.000 0.000 0.500
Pt 0.000 0.500 0.000
```

Properties
**Space-group type**: P4/mmm
**VASP energy**: -6.568 eV/atom
**Total moment**: 0.883 μB per atom